First-principles (PBE) data for an optimized crystal structure of Ho3UTl3Te8, as listed in Alexandria via LeMat-Bulk.

It has space group R-3m (No. 166, hexagonal axes), with a = 8.7980 Å, b = 8.7980 Å, c = 24.7709 Å, α = 90.00°, β = 90.00° and γ = 120.00°. The inequivalent atoms are Ho at (0.0000, 0.5000, 0.0000), U at (0.0000, 0.0000, 0.0000), Tl at (0.0000, 0.5000, 0.5000), Te at (0.0000, 0.0000, 0.2625) and Te at (0.0003, 0.5002, 0.2629).

The value obtained for the formation energy from raw total energies is -0.955 eV/atom. As for the energy: -214.75 eV/cell.



First-principles (PBE) data for an optimized crystal structure of YHo3Tl3Te8, as listed in Alexandria via LeMat-Bulk.

It has space group C2/m (No. 12), with a = 15.193 Å, b = 8.756 Å, c = 9.628 Å, α = 90.00°, β = 121.80° and γ = 90.00°. The inequivalent atoms are Y at (0.000, 0.000, 0.000), Ho at (0.000, 0.500, 0.000), Ho at (0.250, 0.250, 0.000), Tl at (0.000, 0.000, 0.500), Tl at (0.250, 0.250, 0.500), Te at (0.012, 0.252, 0.785), Te at (0.238, 0.500, 0.215) and Te at (0.240, 0.000, 0.215).

The value obtained for the formation energy from raw total energies is -1.052 eV/atom. As for the energy: -136.43 eV/cell.



First-principles (PBE) data for an optimized crystal structure of Y3HoTl3Te8, as listed in Alexandria via LeMat-Bulk.

It has space group C2/m (No. 12), with a = 15.234 Å, b = 8.779 Å, c = 9.636 Å, α = 90.00°, β = 121.85° and γ = 90.00°. The inequivalent atoms are Y at (0.000, 0.000, 0.000), Y at (0.250, 0.250, 0.000), Ho at (0.000, 0.500, 0.000), Tl at (0.000, 0.500, 0.500), Tl at (0.250, 0.250, 0.500), Te at (0.012, 0.250, 0.785), Te at (0.238, 0.500, 0.215) and Te at (0.239, 0.000, 0.216).

The value obtained for the formation energy from raw total energies is -1.063 eV/atom. As for the energy: -144.30 eV/cell.



First-principles (PBE) data for an optimized crystal structure of HoTlZnTe3, as listed in Alexandria via LeMat-Bulk.

It has space group P2_1/m (No. 11), with a = 9.600 Å, b = 4.361 Å, c = 10.242 Å, α = 90.00°, β = 107.64° and γ = 90.00°. The inequivalent atoms are Ho at (0.174, 0.250, 0.141), Tl at (0.291, 0.750, 0.775), Zn at (0.417, 0.750, 0.396), Te at (0.040, 0.250, 0.830), Te at (0.287, 0.250, 0.469) and Te at (0.398, 0.750, 0.131).

The value obtained for the formation energy from raw total energies is -0.818 eV/atom. As for the energy: -45.10 eV/cell.



First-principles (PBE) data for an optimized crystal structure of HoZr2Tl3Te6, as listed in Alexandria via LeMat-Bulk.

It has space group C2/m (No. 12), with a = 7.269 Å, b = 12.593 Å, c = 8.758 Å, α = 90.00°, β = 106.07° and γ = 90.00°. The inequivalent atoms are Ho at (0.000, 0.000, 0.000), Zr at (0.000, 0.332, 0.000), Tl at (0.000, 0.161, 0.500), Tl at (0.000, 0.500, 0.500), Te at (0.225, 0.500, 0.208) and Te at (0.243, 0.172, 0.212).

The value obtained for the formation energy from raw total energies is -0.752 eV/atom. As for the energy: -113.30 eV/cell.



First-principles (PBE) data for an optimized crystal structure of Ho3ZrTl4Te8, as listed in Alexandria via LeMat-Bulk.

It has space group R-3m (No. 166, hexagonal axes), with a = 8.7246 Å, b = 8.7246 Å, c = 24.6881 Å, α = 90.00°, β = 90.00° and γ = 120.00°. The inequivalent atoms are Ho at (0.0000, 0.5000, 0.0000), Zr at (0.0000, 0.0000, 0.0000), Tl at (0.0000, 0.0000, 0.5000), Tl at (0.0000, 0.5000, 0.5000), Te at (0.0000, 0.0000, 0.2618) and Te at (0.0100, 0.5050, 0.7369).

The value obtained for the formation energy from raw total energies is -0.926 eV/atom. As for the energy: -215.09 eV/cell.



First-principles (PBE) data for an optimized crystal structure of Ho2ZrTl3Te6, as listed in Alexandria via LeMat-Bulk.

It has space group C2/m (No. 12), with a = 7.506 Å, b = 12.991 Å, c = 8.634 Å, α = 90.00°, β = 106.82° and γ = 90.00°. The inequivalent atoms are Ho at (0.000, 0.166, 0.000), Zr at (0.000, 0.500, 0.000), Tl at (0.000, 0.000, 0.500), Tl at (0.000, 0.329, 0.500), Te at (0.231, 0.339, 0.210) and Te at (0.249, 0.000, 0.214).

The value obtained for the formation energy from raw total energies is -0.886 eV/atom. As for the energy: -108.57 eV/cell.



First-principles (PBE) data for an optimized crystal structure of Ho3Tm2Te8, as listed in Alexandria via LeMat-Bulk.

It has space group C2/m (No. 12), with a = 15.199 Å, b = 8.631 Å, c = 7.446 Å, α = 90.00°, β = 108.48° and γ = 90.00°. The inequivalent atoms are Ho at (0.000, 0.000, 0.000), Ho at (0.000, 0.257, 0.500), Tm at (0.250, 0.000, 0.831), Te at (0.117, 0.500, 0.395), Te at (0.122, 0.000, 0.416) and Te at (0.123, 0.249, 0.913).

The value obtained for the formation energy from raw total energies is -1.226 eV/atom. As for the energy: -127.49 eV/cell.



First-principles (PBE) data for an optimized crystal structure of HoTm6Te8, as listed in Alexandria via LeMat-Bulk.

It has space group Fm-3m (No. 225), with a = 12.126 Å, b = 12.126 Å, c = 12.126 Å, α = 90.00°, β = 90.00° and γ = 90.00°. The inequivalent atoms are Ho at (0.000, 0.000, 0.000), Tm at (0.000, 0.250, 0.250), Te at (0.000, 0.000, 0.257) and Te at (0.250, 0.250, 0.250).

The value obtained for the formation energy from raw total energies is -1.283 eV/atom. As for the energy: -303.13 eV/cell.



First-principles (PBE) data for an optimized crystal structure of Ho5TmTe6, as listed in Alexandria via LeMat-Bulk.

It has space group C2/m (No. 12), with a = 7.494 Å, b = 13.027 Å, c = 7.480 Å, α = 90.00°, β = 109.62° and γ = 90.00°. The inequivalent atoms are Ho at (0.000, 0.000, 0.000), Ho at (0.000, 0.167, 0.500), Ho at (0.000, 0.330, 0.000), Tm at (0.000, 0.500, 0.500), Te at (0.247, 0.500, 0.250) and Te at (0.248, 0.335, 0.748).

The value obtained for the formation energy from raw total energies is -1.232 eV/atom. As for the energy: -122.00 eV/cell.



First-principles (PBE) data for an optimized crystal structure of Ho4TmTe2, as listed in Alexandria via LeMat-Bulk.

It has space group R-3m (No. 166, hexagonal axes), with a = 5.3867 Å, b = 5.3867 Å, c = 26.4369 Å, α = 90.00°, β = 90.00° and γ = 120.00°. The inequivalent atoms are Ho at (0.0000, 0.0000, 0.1343), Ho at (0.0000, 0.0000, 0.2648), Tm at (0.0000, 0.0000, 0.5000) and Te at (0.0000, 0.0000, 0.3829).

The value obtained for the formation energy from raw total energies is -0.491 eV/atom. As for the energy: -97.50 eV/cell.



First-principles (PBE) data for an optimized crystal structure of HoTm4Te5, as listed in Alexandria via LeMat-Bulk.

It has space group I4/mmm (No. 139), with a = 4.256 Å, b = 4.256 Å, c = 31.320 Å, α = 90.00°, β = 90.00° and γ = 90.00°. The inequivalent atoms are Ho at (0.000, 0.000, 0.000), Tm at (0.000, 0.000, 0.211), Tm at (0.000, 0.000, 0.407), Te at (0.000, 0.000, 0.104), Te at (0.000, 0.000, 0.308) and Te at (0.000, 0.000, 0.500).

The value obtained for the energy above the lowest structure with this stoichiometry is 0 meV per atom. The value obtained for the formation energy from raw total energies is -1.187 eV/atom. As for the energy: -100.09 eV/cell.



First-principles (PBE) data for an optimized crystal structure of HoTm5Te4, as listed in Alexandria via LeMat-Bulk.

It has space group Pmmn (No. 59, origin choice 2), with a = 9.094 Å, b = 9.504 Å, c = 7.439 Å, α = 90.00°, β = 90.00° and γ = 90.00°. The inequivalent atoms are Ho at (0.250, 0.250, 0.142), Tm at (0.062, 0.061, 0.771), Tm at (0.250, 0.750, 0.782), Te at (0.018, 0.250, 0.444) and Te at (0.250, 0.555, 0.095).

The value obtained for the formation energy from raw total energies is -0.700 eV/atom. As for the energy: -93.00 eV/cell.



First-principles (PBE) data for an optimized crystal structure of Ho8TmTe6, as listed in Alexandria via LeMat-Bulk.

It has space group P-3 (No. 147), with a = 11.4973 Å, b = 11.4973 Å, c = 4.0274 Å, α = 90.00°, β = 90.00° and γ = 120.00°. The inequivalent atoms are Ho at (0.0453, 0.7370, 0.2597), Ho at (0.3333, 0.6667, 0.7442), Tm at (0.0000, 0.0000, 0.0000) and Te at (0.1262, 0.4840, 0.2441).

The value obtained for the formation energy from raw total energies is -0.818 eV/atom. As for the energy: -72.21 eV/cell.



First-principles (PBE) data for an optimized crystal structure of HoTm8Te2, as listed in Alexandria via LeMat-Bulk.

It has space group C2/m (No. 12), with a = 17.710 Å, b = 11.151 Å, c = 3.778 Å, α = 90.00°, β = 95.88° and γ = 90.00°. The inequivalent atoms are Ho at (0.000, 0.000, 0.000), Tm at (0.070, 0.500, 0.281), Tm at (0.086, 0.259, 0.782), Tm at (0.228, 0.500, 0.859) and Te at (0.137, 0.000, 0.569).

The value obtained for the formation energy from raw total energies is -0.135 eV/atom. As for the energy: -96.24 eV/cell.



First-principles (PBE) data for an optimized crystal structure of HoTm5Te6, as listed in Alexandria via LeMat-Bulk.

It has space group C2/m (No. 12), with a = 7.458 Å, b = 12.939 Å, c = 7.446 Å, α = 90.00°, β = 109.53° and γ = 90.00°. The inequivalent atoms are Ho at (0.000, 0.000, 0.000), Tm at (0.000, 0.162, 0.500), Tm at (0.000, 0.334, 0.000), Tm at (0.000, 0.500, 0.500), Te at (0.246, 0.500, 0.249) and Te at (0.248, 0.331, 0.748).

The value obtained for the formation energy from raw total energies is -1.180 eV/atom. As for the energy: -119.89 eV/cell.



First-principles (PBE) data for an optimized crystal structure of HoTm3Te4, as listed in Alexandria via LeMat-Bulk.

It has space group P2/c (No. 13), with a = 7.506 Å, b = 8.527 Å, c = 7.482 Å, α = 90.00°, β = 109.14° and γ = 90.00°. The inequivalent atoms are Ho at (0.000, 0.123, 0.250), Tm at (0.000, 0.374, 0.750), Tm at (0.500, 0.124, 0.750), Tm at (0.500, 0.374, 0.250), Te at (0.251, 0.376, 0.501) and Te at (0.253, 0.126, 0.000).

The value obtained for the energy above the lowest structure with this stoichiometry is 0 meV per atom. The value obtained for the formation energy from raw total energies is -1.187 eV/atom. As for the energy: -80.10 eV/cell.



First-principles (PBE) data for an optimized crystal structure of Ho3TmTe4, as listed in Alexandria via LeMat-Bulk.

It has space group Pmn2_1 (No. 31), with a = 9.300 Å, b = 7.820 Å, c = 8.215 Å, α = 90.00°, β = 90.00° and γ = 90.00°. The inequivalent atoms are Ho at (0.000, 0.156, 0.000), Ho at (0.201, 0.290, 0.632), Tm at (0.000, 0.885, 0.635), Te at (0.000, 0.154, 0.375), Te at (0.000, 0.771, 0.988) and Te at (0.222, 0.650, 0.487).

The value obtained for the energy above the lowest structure with this stoichiometry is 302 meV per atom. The value obtained for the formation energy from raw total energies is -0.922 eV/atom. As for the energy: -76.30 eV/cell.



First-principles (PBE) data for an optimized crystal structure of HoTm2Te4, as listed in Alexandria via LeMat-Bulk.

It has space group C2/m (No. 12), with a = 16.106 Å, b = 4.305 Å, c = 7.498 Å, α = 90.00°, β = 117.44° and γ = 90.00°. The inequivalent atoms are Ho at (0.000, 0.000, 0.000), Tm at (0.245, 0.500, 0.730), Te at (0.121, 0.000, 0.455) and Te at (0.130, 0.500, 0.965).

The value obtained for the formation energy from raw total energies is -1.347 eV/atom. As for the energy: -71.03 eV/cell.